Entry from the Alexandria database: a relaxed structure of Tb2Pr2Y7 (PBE).

Values from the calculation:
For the spin magnetization, the calculation gives 0.0 μB/f.u. The relative energy among the computed polymorphs is 0 meV per atom. For the formation energy, the calculation gives 26.9 meV/atom.

CIF file:
```
data_Tb2Pr2Y7
_chemical_formula_sum 'Tb2 Pr2 Y7'
_space_group_name_H-M_alt 'P 1'
_space_group_IT_number 1
_cell_length_a 3.586
_cell_length_b 9.482
_cell_length_c 12.802
_cell_angle_alpha 81.65
_cell_angle_beta 114.83
_cell_angle_gamma 112.23
loop_
_space_group_symop_operation_xyz
'x,y,z'
loop_
_atom_site_label
_atom_site_fract_x
_atom_site_fract_y
_atom_site_fract_z
Tb1 0.994 0.888 0.737
Tb2 0.006 0.112 0.263
Pr1 0.474 0.706 0.178
Pr2 0.526 0.294 0.822
Y1 0.498 0.840 0.439
Y2 0.499 0.362 0.091
Y3 0.502 0.160 0.561
Y4 0.501 0.638 0.909
Y5 0.000 0.000 0.000
Y6 0.998 0.567 0.620
Y7 0.002 0.433 0.380
```

Entry from the Alexandria database: a relaxed structure of Tb4Pr3Y4 (PBE).

Values from the calculation:
For the spin magnetization, the calculation gives 0.0 μB/f.u. The relative energy among the computed polymorphs is 0 meV per atom. For the formation energy, the calculation gives 152.0 meV/atom.

CIF file:
```
data_Tb4Pr3Y4
_chemical_formula_sum 'Tb4 Pr3 Y4'
_space_group_name_H-M_alt 'P 1'
_space_group_IT_number 1
_cell_length_a 5.760
_cell_length_b 6.714
_cell_length_c 10.695
_cell_angle_alpha 90.00
_cell_angle_beta 90.00
_cell_angle_gamma 115.40
loop_
_space_group_symop_operation_xyz
'x,y,z'
loop_
_atom_site_label
_atom_site_fract_x
_atom_site_fract_y
_atom_site_fract_z
Tb1 0.756 0.511 0.786
Tb2 0.756 0.511 0.214
Tb3 0.889 0.777 0.500
Tb4 0.958 0.916 0.000
Pr1 0.404 0.809 0.297
Pr2 0.404 0.809 0.703
Pr3 0.256 0.512 0.000
Y1 0.617 0.235 0.500
Y2 0.557 0.114 0.000
Y3 0.101 0.202 0.707
Y4 0.101 0.202 0.293
```

Entry from the Alexandria database: a relaxed structure of Tb2Pr3Y4 (PBE).

Values from the calculation:
For the spin magnetization, the calculation gives 0.0 μB/f.u. The relative energy among the computed polymorphs is 79 meV per atom. For the formation energy, the calculation gives 95.6 meV/atom.

CIF file:
```
data_Tb2Pr3Y4
_chemical_formula_sum 'Tb4 Pr6 Y8'
_space_group_name_H-M_alt 'P 1'
_space_group_IT_number 1
_cell_length_a 6.114
_cell_length_b 11.353
_cell_length_c 11.353
_cell_angle_alpha 62.72
_cell_angle_beta 63.97
_cell_angle_gamma 63.97
loop_
_space_group_symop_operation_xyz
'x,y,z'
loop_
_atom_site_label
_atom_site_fract_x
_atom_site_fract_y
_atom_site_fract_z
Tb1 0.416 0.253 0.517
Tb2 0.084 0.483 0.747
Tb3 0.584 0.747 0.483
Tb4 0.916 0.517 0.253
Pr1 0.748 0.056 0.278
Pr2 0.752 0.722 0.944
Pr3 0.252 0.944 0.722
Pr4 0.248 0.278 0.056
Pr5 0.250 0.608 0.392
Pr6 0.750 0.392 0.608
Y1 0.419 0.921 0.182
Y2 0.081 0.818 0.079
Y3 0.581 0.079 0.818
Y4 0.919 0.182 0.921
Y5 0.076 0.155 0.411
Y6 0.424 0.589 0.845
Y7 0.924 0.845 0.589
Y8 0.576 0.411 0.155
```

Entry from the Alexandria database: a relaxed structure of Tb3PrY (PBE).

Values from the calculation:
For the spin magnetization, the calculation gives 0.0 μB/f.u. The relative energy among the computed polymorphs is 29 meV per atom. For the formation energy, the calculation gives 44.8 meV/atom.

CIF file:
```
data_Tb3PrY
_chemical_formula_sum 'Tb12 Pr4 Y4'
_space_group_name_H-M_alt 'P 1'
_space_group_IT_number 1
_cell_length_a 6.631
_cell_length_b 10.188
_cell_length_c 10.188
_cell_angle_alpha 81.45
_cell_angle_beta 79.63
_cell_angle_gamma 79.63
loop_
_space_group_symop_operation_xyz
'x,y,z'
loop_
_atom_site_label
_atom_site_fract_x
_atom_site_fract_y
_atom_site_fract_z
Tb1 0.147 0.723 0.872
Tb2 0.353 0.128 0.277
Tb3 0.853 0.277 0.128
Tb4 0.647 0.872 0.723
Tb5 0.349 0.388 0.015
Tb6 0.151 0.985 0.612
Tb7 0.651 0.612 0.985
Tb8 0.849 0.015 0.388
Tb9 0.049 0.416 0.786
Tb10 0.451 0.214 0.584
Tb11 0.951 0.584 0.214
Tb12 0.549 0.786 0.416
Pr1 0.750 0.924 0.076
Pr2 0.250 0.076 0.924
Pr3 0.750 0.186 0.814
Pr4 0.250 0.814 0.186
Y1 0.549 0.527 0.675
Y2 0.951 0.325 0.473
Y3 0.451 0.473 0.325
Y4 0.049 0.675 0.527
```

Entry from the Alexandria database: a relaxed structure of Tb10PrY4 (PBE).

Values from the calculation:
For the spin magnetization, the calculation gives 0.0 μB/f.u. For the formation energy, the calculation gives 452.8 meV/atom.

CIF file:
```
data_Tb10PrY4
_chemical_formula_sum 'Tb10 Pr1 Y4'
_space_group_name_H-M_alt 'P 1'
_space_group_IT_number 1
_cell_length_a 10.864
_cell_length_b 8.819
_cell_length_c 8.819
_cell_angle_alpha 67.71
_cell_angle_beta 51.98
_cell_angle_gamma 51.98
loop_
_space_group_symop_operation_xyz
'x,y,z'
loop_
_atom_site_label
_atom_site_fract_x
_atom_site_fract_y
_atom_site_fract_z
Tb1 0.250 0.500 0.500
Tb2 0.710 0.342 0.899
Tb3 0.949 0.101 0.342
Tb4 0.392 0.899 0.658
Tb5 0.950 0.658 0.101
Tb6 0.290 0.658 0.101
Tb7 0.750 0.500 0.500
Tb8 0.050 0.342 0.899
Tb9 0.608 0.101 0.342
Tb10 0.051 0.899 0.658
Pr1 0.000 0.000 0.000
Y1 0.557 0.654 0.233
Y2 0.789 0.767 0.654
Y3 0.211 0.233 0.346
Y4 0.443 0.346 0.767
```

Entry from the Alexandria database: a relaxed structure of Tb2Pr3Y (PBE).

Values from the calculation:
For the spin magnetization, the calculation gives 0.0 μB/f.u. The relative energy among the computed polymorphs is 0 meV per atom. For the formation energy, the calculation gives 106.4 meV/atom.

CIF file:
```
data_Tb2Pr3Y
_chemical_formula_sum 'Tb4 Pr6 Y2'
_space_group_name_H-M_alt 'P 1'
_space_group_IT_number 1
_cell_length_a 3.577
_cell_length_b 6.925
_cell_length_c 17.798
_cell_angle_alpha 79.65
_cell_angle_beta 84.23
_cell_angle_gamma 75.03
loop_
_space_group_symop_operation_xyz
'x,y,z'
loop_
_atom_site_label
_atom_site_fract_x
_atom_site_fract_y
_atom_site_fract_z
Tb1 0.803 0.559 0.834
Tb2 0.197 0.441 0.166
Tb3 0.632 0.236 0.499
Tb4 0.368 0.764 0.501
Pr1 0.067 0.033 0.832
Pr2 0.933 0.967 0.168
Pr3 0.627 0.736 0.010
Pr4 0.373 0.264 0.990
Pr5 0.732 0.872 0.663
Pr6 0.268 0.128 0.337
Y1 0.459 0.402 0.681
Y2 0.541 0.598 0.319
```

Entry from the Alexandria database: a relaxed structure of Tb8Pr2Y (PBE).

Values from the calculation:
For the spin magnetization, the calculation gives 0.0 μB/f.u. The relative energy among the computed polymorphs is 0 meV per atom. For the formation energy, the calculation gives 150.8 meV/atom.

CIF file:
```
data_Tb8Pr2Y
_chemical_formula_sum 'Tb8 Pr2 Y1'
_space_group_name_H-M_alt 'P 1'
_space_group_IT_number 1
_cell_length_a 5.950
_cell_length_b 9.100
_cell_length_c 9.306
_cell_angle_alpha 60.73
_cell_angle_beta 74.41
_cell_angle_gamma 56.64
loop_
_space_group_symop_operation_xyz
'x,y,z'
loop_
_atom_site_label
_atom_site_fract_x
_atom_site_fract_y
_atom_site_fract_z
Tb1 0.824 0.099 0.231
Tb2 0.824 0.330 0.769
Tb3 0.296 0.427 0.000
Tb4 0.500 0.793 0.414
Tb5 0.500 0.207 0.586
Tb6 0.704 0.573 0.000
Tb7 0.176 0.670 0.231
Tb8 0.176 0.901 0.769
Pr1 0.000 0.307 0.386
Pr2 0.000 0.693 0.614
Y1 0.500 0.000 0.000
```

Entry from the Alexandria database: a relaxed structure of Tb8Pr3Y2 (PBE).

Values from the calculation:
For the spin magnetization, the calculation gives 0.0 μB/f.u. The relative energy among the computed polymorphs is 158 meV per atom. For the formation energy, the calculation gives 241.6 meV/atom.

CIF file:
```
data_Tb8Pr3Y2
_chemical_formula_sum 'Tb8 Pr3 Y2'
_space_group_name_H-M_alt 'P 1'
_space_group_IT_number 1
_cell_length_a 5.700
_cell_length_b 7.750
_cell_length_c 10.844
_cell_angle_alpha 110.94
_cell_angle_beta 90.03
_cell_angle_gamma 90.00
loop_
_space_group_symop_operation_xyz
'x,y,z'
loop_
_atom_site_label
_atom_site_fract_x
_atom_site_fract_y
_atom_site_fract_z
Tb1 0.001 0.671 0.343
Tb2 0.999 0.329 0.657
Tb3 0.999 0.136 0.271
Tb4 0.001 0.864 0.729
Tb5 0.500 0.600 0.783
Tb6 0.500 0.183 0.783
Tb7 0.500 0.817 0.217
Tb8 0.500 0.400 0.217
Pr1 0.500 0.000 0.000
Pr2 0.000 0.292 0.000
Pr3 0.000 0.708 0.000
Y1 0.499 0.242 0.483
Y2 0.501 0.758 0.517
```

Entry from the Alexandria database: a relaxed structure of Tb2Pr4Y5 (PBE).

Values from the calculation:
For the spin magnetization, the calculation gives 0.0 μB/f.u. The relative energy among the computed polymorphs is 0 meV per atom. For the formation energy, the calculation gives 102.4 meV/atom.

CIF file:
```
data_Tb2Pr4Y5
_chemical_formula_sum 'Tb2 Pr4 Y5'
_space_group_name_H-M_alt 'P 1'
_space_group_IT_number 1
_cell_length_a 5.891
_cell_length_b 6.423
_cell_length_c 10.268
_cell_angle_alpha 86.06
_cell_angle_beta 106.67
_cell_angle_gamma 90.00
loop_
_space_group_symop_operation_xyz
'x,y,z'
loop_
_atom_site_label
_atom_site_fract_x
_atom_site_fract_y
_atom_site_fract_z
Tb1 0.403 0.544 0.806
Tb2 0.597 0.456 0.194
Pr1 0.309 0.068 0.617
Pr2 0.033 0.731 0.066
Pr3 0.691 0.932 0.383
Pr4 0.967 0.269 0.934
Y1 0.785 0.393 0.571
Y2 0.215 0.607 0.429
Y3 0.867 0.855 0.735
Y4 0.500 0.000 0.000
Y5 0.133 0.145 0.265
```

Entry from the Alexandria database: a relaxed structure of Tb3Pr7Y (PBE).

Values from the calculation:
For the spin magnetization, the calculation gives 0.0 μB/f.u. The relative energy among the computed polymorphs is 0 meV per atom. For the formation energy, the calculation gives 220.3 meV/atom.

CIF file:
```
data_Tb3Pr7Y
_chemical_formula_sum 'Tb3 Pr7 Y1'
_space_group_name_H-M_alt 'P 1'
_space_group_IT_number 1
_cell_length_a 5.977
_cell_length_b 8.655
_cell_length_c 8.655
_cell_angle_alpha 83.00
_cell_angle_beta 110.23
_cell_angle_gamma 110.23
loop_
_space_group_symop_operation_xyz
'x,y,z'
loop_
_atom_site_label
_atom_site_fract_x
_atom_site_fract_y
_atom_site_fract_z
Tb1 0.000 0.795 0.205
Tb2 0.500 0.000 0.000
Tb3 0.000 0.205 0.795
Pr1 0.210 0.209 0.209
Pr2 0.306 0.014 0.597
Pr3 0.694 0.403 0.986
Pr4 0.306 0.597 0.014
Pr5 0.000 0.500 0.500
Pr6 0.694 0.986 0.403
Pr7 0.790 0.791 0.791
Y1 0.500 0.500 0.500
```

Entry from the Alexandria database: a relaxed structure of TbPr3Y6 (PBE).

Values from the calculation:
For the spin magnetization, the calculation gives 0.0 μB/f.u. The relative energy among the computed polymorphs is 0 meV per atom. For the formation energy, the calculation gives 140.5 meV/atom.

CIF file:
```
data_TbPr3Y6
_chemical_formula_sum 'Tb2 Pr6 Y12'
_space_group_name_H-M_alt 'P 1'
_space_group_IT_number 1
_cell_length_a 6.464
_cell_length_b 10.978
_cell_length_c 10.978
_cell_angle_alpha 119.83
_cell_angle_beta 90.00
_cell_angle_gamma 90.00
loop_
_space_group_symop_operation_xyz
'x,y,z'
loop_
_atom_site_label
_atom_site_fract_x
_atom_site_fract_y
_atom_site_fract_z
Tb1 0.135 0.192 0.808
Tb2 0.635 0.808 0.192
Pr1 0.461 0.936 0.706
Pr2 0.961 0.706 0.936
Pr3 0.068 0.387 0.613
Pr4 0.568 0.613 0.387
Pr5 0.961 0.064 0.294
Pr6 0.461 0.294 0.064
Y1 0.051 0.712 0.624
Y2 0.551 0.624 0.712
Y3 0.372 0.528 0.945
Y4 0.872 0.945 0.528
Y5 0.358 0.961 0.039
Y6 0.657 0.267 0.733
Y7 0.157 0.733 0.267
Y8 0.858 0.039 0.961
Y9 0.372 0.055 0.472
Y10 0.872 0.472 0.055
Y11 0.051 0.376 0.288
Y12 0.551 0.288 0.376
```

Entry from the Alexandria database: a relaxed structure of Tb7Pr3Y2 (PBE).

Values from the calculation:
For the spin magnetization, the calculation gives 0.0 μB/f.u. The relative energy among the computed polymorphs is 3 meV per atom. For the formation energy, the calculation gives 86.5 meV/atom.

CIF file:
```
data_Tb7Pr3Y2
_chemical_formula_sum 'Tb7 Pr3 Y2'
_space_group_name_H-M_alt 'P 1'
_space_group_IT_number 1
_cell_length_a 3.593
_cell_length_b 5.890
_cell_length_c 19.002
_cell_angle_alpha 93.02
_cell_angle_beta 90.00
_cell_angle_gamma 90.00
loop_
_space_group_symop_operation_xyz
'x,y,z'
loop_
_atom_site_label
_atom_site_fract_x
_atom_site_fract_y
_atom_site_fract_z
Tb1 0.500 0.743 0.463
Tb2 0.500 0.257 0.537
Tb3 0.000 0.692 0.143
Tb4 0.000 0.000 0.000
Tb5 0.000 0.308 0.857
Tb6 0.500 0.806 0.824
Tb7 0.500 0.194 0.176
Pr1 0.500 0.500 0.000
Pr2 0.000 0.224 0.367
Pr3 0.000 0.776 0.633
Y1 0.500 0.713 0.293
Y2 0.500 0.287 0.707
```